This record from the Alexandria database describes PaSnPdRu after structural relaxation. The functional is PBE.

abc: 4.807 4.807 4.807
angles: 60.00 60.00 60.00
Fractional coordinates of all 4 atoms:
Ru: 0.000 0.000 0.000
Pa: 0.250 0.250 0.250
Sn: 0.750 0.750 0.750
Pd: 0.500 0.500 0.500


This record from the Alexandria database describes ThPaPdRu after structural relaxation. The functional is PBE.

abc: 4.984 4.984 4.984
angles: 60.00 60.00 60.00
Fractional coordinates of all 4 atoms:
Ru: 0.750 0.750 0.750
Pa: 0.000 0.000 0.000
Pd: 0.250 0.250 0.250
Th: 0.500 0.500 0.500


This record from the Alexandria database describes TmPaPdRu after structural relaxation. The functional is PBE.

abc: 4.876 4.876 4.876
angles: 60.00 60.00 60.00
Fractional coordinates of all 4 atoms:
Ru: 0.750 0.750 0.750
Pa: 0.500 0.500 0.500
Tm: 0.000 0.000 0.000
Pd: 0.250 0.250 0.250


This record from the Alexandria database describes PaZnPdRu after structural relaxation. The functional is PBE.

abc: 4.668 4.668 4.668
angles: 60.00 60.00 60.00
Fractional coordinates of all 4 atoms:
Ru: 0.250 0.250 0.250
Zn: 0.000 0.000 0.000
Pa: 0.500 0.500 0.500
Pd: 0.750 0.750 0.750


ΔE_f: -402; -392; -501; -379 (meV per atom)
DFT total energy: -7.3935; -8.2377; -7.6100; -6.6884 (eV/atom)